# 1
The following is a DFT calculation (PBE) of a relaxed Tl5Cl crystal.

Unit cell a=9.3405 b=9.3405 c=5.4308 alpha=90.00 beta=90.00 gamma=157.10
With the nearest neighbours (Å) after each atom.
Element x y z (fractional)
1 Tl 0.3177 0.6823 0.0000  4 Tl 3.30, 2 Cl 3.39
2 Tl 0.6277 0.3723 0.0000  4 Tl 3.30, 2 Cl 3.39
3 Tl 0.4720 0.5280 0.5000  4 Cl 3.29, 4 Tl 3.63-3.64
4 Tl 0.8012 0.1988 0.5000  8 Tl 3.30-3.64
5 Tl 0.1423 0.8577 0.5000  8 Tl 3.30-3.63
6 Cl 0.9725 0.0275 0.0000  8 Tl 3.29-3.39

Computed properties:
**Formation energy (no corrections)**: -0.221 eV per atom
**E**: -2.501 eV/atom

# 2
The following is a DFT calculation (PBE) of a relaxed Zn3NiI crystal.

Unit cell a=5.4667 b=5.4667 c=5.4667 alpha=90.00 beta=90.00 gamma=90.00
With the nearest neighbours (Å) after each atom.
Element x y z (fractional)
1 I 0.0000 0.0000 0.0000  6 Zn 2.73
2 Ni 0.5000 0.5000 0.5000  12 Zn 3.87
3 Zn 0.0000 0.5000 0.0000  2 I 2.73
4 Zn 0.0000 0.0000 0.5000  2 I 2.73
5 Zn 0.5000 0.0000 0.0000  2 I 2.73

Computed properties:
**Formation energy (no corrections)**: 1.354 eV per atom
**E**: -0.877 eV/atom

# 3
The following is a DFT calculation (PBE) of a relaxed Np2BiPb crystal.

Unit cell a=4.5990 b=4.9042 c=4.9042 alpha=90.00 beta=90.00 gamma=90.00
With the nearest neighbours (Å) after each atom.
Element x y z (fractional)
1 Np 0.0000 0.0000 0.5000  4 Pb 3.36, 4 Bi 3.36, 4 Np 3.47
2 Np 0.0000 0.5000 0.0000  4 Pb 3.36, 4 Bi 3.36, 4 Np 3.47
3 Pb 0.5000 0.5000 0.5000  8 Np 3.36, 4 Bi 3.47
4 Bi 0.5000 0.0000 0.0000  8 Np 3.36, 4 Pb 3.47

Computed properties:
**E_form**: 0.1810 eV per atom
**E**: -8.187 eV/atom